This record from Alexandria via LeMat-Bulk describes BaCr2Ir after structural relaxation. The functional is GGA-PBE.

Summary:
Space-group type ... R3m (160)
DOS(E_F) ... 3.06 states/eV/f.u.
Spin magnetization ... 0.74 μB/f.u.
Energy of formation ... 0.278 eV/atom
Uncorrected energy ... -7.2301 eV per atom
Distance to the lowest polymorph of the same formula ... 0.000 eV per atom

a = 4.338 Å, b = 4.338 Å, c = 6.413 Å
α = 70.23°, β = 70.23°, γ = 59.97°
Last column: magnetic moment on the atom in μB.
Atoms (fractional coordinates):
Cr 0.057 0.057 0.830  2.97
Cr 0.756 0.756 0.733  -2.60
Ir 0.440 0.440 0.679  0.10
Ba 0.247 0.247 0.258  0.07

***

This record from Alexandria via LeMat-Bulk describes BaCrIr2 after structural relaxation. The functional is GGA-PBE.

Summary:
Space-group type ... Immm (71)
DOS(E_F) ... 2.96 states/eV/f.u.
Spin magnetization ... 0.60 μB/f.u.
Energy of formation ... 0.687 eV/atom
Uncorrected energy ... -6.6305 eV per atom
Distance to the lowest polymorph of the same formula ... 0.623 eV per atom

a = 5.720 Å, b = 5.720 Å, c = 5.720 Å
α = 146.98°, β = 119.52°, γ = 70.66°
Last column: magnetic moment on the atom in μB.
Atoms (fractional coordinates):
Ir 0.070 0.070 0.000  -0.07
Cr 0.250 0.750 0.500  0.65
Ir 0.430 0.430 0.000  -0.07
Ba 0.750 0.250 0.500  0.01

***

This record from Alexandria via LeMat-Bulk describes BaCrIr2 after structural relaxation. The functional is GGA-PBE.

Summary:
Space-group type ... P2/m (10)
DOS(E_F) ... 3.14 states/eV/f.u.
Spin magnetization ... 1.85 μB/f.u.
Energy of formation ... 0.232 eV/atom
Uncorrected energy ... -7.0851 eV per atom
Distance to the lowest polymorph of the same formula ... 0.168 eV per atom

a = 3.087 Å, b = 3.080 Å, c = 8.531 Å
α = 68.94°, β = 90.00°, γ = 90.00°
Last column: magnetic moment on the atom in μB.
Atoms (fractional coordinates):
Ba 0.500 0.250 0.250  0.01
Ir 0.000 0.429 0.571  -0.10
Ir 0.000 0.071 0.929  -0.10
Cr 0.500 0.750 0.750  1.89

***

This record from Alexandria via LeMat-Bulk describes BaCr2Ir after structural relaxation. The functional is GGA-PBE.

Summary:
Space-group type ... P4/mmm (123)
DOS(E_F) ... 2.68 states/eV/f.u.
Spin magnetization ... 0.00 μB/f.u.
Energy of formation ... 0.870 eV/atom
Uncorrected energy ... -6.6379 eV per atom
Distance to the lowest polymorph of the same formula ... 0.592 eV per atom

a = 4.294 Å, b = 4.301 Å, c = 4.577 Å
α = 90.00°, β = 90.00°, γ = 90.00°
Last column: magnetic moment on the atom in μB.
Atoms (fractional coordinates):
Ir 0.500 0.000 0.500  0.00
Ba 0.000 0.500 0.500  0.00
Cr 0.000 0.000 0.000  -3.69
Cr 0.500 0.500 0.000  3.69

***

This record from Alexandria via LeMat-Bulk describes Ba2CrIr after structural relaxation. The functional is GGA-PBE.

Summary:
Space-group type ... Imm2 (44)
DOS(E_F) ... 3.59 states/eV/f.u.
Spin magnetization ... 3.34 μB/f.u.
Energy of formation ... 0.243 eV/atom
Uncorrected energy ... -5.3399 eV per atom
Distance to the lowest polymorph of the same formula ... 0.109 eV per atom

a = 8.127 Å, b = 8.127 Å, c = 8.127 Å
α = 148.62°, β = 146.13°, γ = 46.84°
Last column: magnetic moment on the atom in μB.
Atoms (fractional coordinates):
Ba 0.749 0.249 0.500  0.01
Cr 0.409 0.409 0.000  3.10
Ba 0.994 0.994 0.000  -0.01
Ir 0.348 0.848 0.500  -0.10

***

This record from Alexandria via LeMat-Bulk describes BaCrIr2 after structural relaxation. The functional is GGA-PBE.

Summary:
Space-group type ... P4/mmm (123)
DOS(E_F) ... 6.25 states/eV/f.u.
Spin magnetization ... 3.47 μB/f.u.
Energy of formation ... 0.883 eV/atom
Uncorrected energy ... -6.4340 eV per atom
Distance to the lowest polymorph of the same formula ... 0.820 eV per atom

a = 5.086 Å, b = 5.086 Å, c = 3.133 Å
α = 90.00°, β = 90.00°, γ = 90.00°
Last column: magnetic moment on the atom in μB.
Atoms (fractional coordinates):
Ba 0.500 0.000 0.500  0.00
Cr 0.000 0.500 0.500  3.32
Ir 0.000 0.000 0.000  -0.10
Ir 0.500 0.500 0.000  -0.10

***

This record from Alexandria via LeMat-Bulk describes BaCrIr2 after structural relaxation. The functional is GGA-PBE.

Summary:
Space-group type ... Fm-3m (225)
DOS(E_F) ... 9.09 states/eV/f.u.
Spin magnetization ... 0.00 μB/f.u.
Energy of formation ... 1.132 eV/atom
Uncorrected energy ... -6.1853 eV per atom
Distance to the lowest polymorph of the same formula ... 1.068 eV per atom

a = 4.763 Å, b = 4.763 Å, c = 4.763 Å
α = 60.00°, β = 60.00°, γ = 60.00°
Atoms (fractional coordinates):
Cr 0.000 0.000 0.000
Ba 0.500 0.500 0.500
Ir 0.750 0.750 0.750
Ir 0.250 0.250 0.250

***

This record from Alexandria via LeMat-Bulk describes Ba2CrIr after structural relaxation. The functional is GGA-PBE.

Summary:
Space-group type ... I-4m2 (119)
DOS(E_F) ... 2.03 states/eV/f.u.
Spin magnetization ... 4.95 μB/f.u.
Energy of formation ... 0.635 eV/atom
Uncorrected energy ... -4.9475 eV per atom
Distance to the lowest polymorph of the same formula ... 0.501 eV per atom

a = 5.923 Å, b = 5.923 Å, c = 5.923 Å
α = 131.73°, β = 131.73°, γ = 70.66°
Last column: magnetic moment on the atom in μB.
Atoms (fractional coordinates):
Ir 0.750 0.250 0.500  0.15
Ba 0.250 0.750 0.500  0.07
Ba 0.000 0.000 0.000  0.04
Cr 0.500 0.500 0.000  3.99

***

This record from Alexandria via LeMat-Bulk describes BaCr2Ir after structural relaxation. The functional is GGA-PBE.

Summary:
Space-group type ... P4mm (99)
DOS(E_F) ... 3.65 states/eV/f.u.
Spin magnetization ... 2.00 μB/f.u.
Energy of formation ... 0.501 eV/atom
Uncorrected energy ... -7.0071 eV per atom
Distance to the lowest polymorph of the same formula ... 0.223 eV per atom

a = 3.150 Å, b = 3.151 Å, c = 8.009 Å
α = 90.00°, β = 90.00°, γ = 90.00°
Last column: magnetic moment on the atom in μB.
Atoms (fractional coordinates):
Cr 0.000 0.000 0.086  3.17
Cr 0.500 0.500 0.257  -1.88
Ir 0.000 0.000 0.421  0.25
Ba 0.500 0.500 0.736  0.06

***

This record from Alexandria via LeMat-Bulk describes Ba2CrIr after structural relaxation. The functional is GGA-PBE.

Summary:
Space-group type ... I-42d (122)
DOS(E_F) ... 2.84 states/eV/f.u.
Spin magnetization ... 3.57 μB/f.u.
Energy of formation ... 0.305 eV/atom
Uncorrected energy ... -5.2777 eV per atom
Distance to the lowest polymorph of the same formula ... 0.171 eV per atom

a = 11.843 Å, b = 11.843 Å, c = 8.712 Å
α = 47.18°, β = 47.18°, γ = 90.00°
Last column: magnetic moment on the atom in μB.
Atoms (fractional coordinates):
Ba 0.875 0.051 0.750  -0.01
Ba 0.949 0.625 0.250  -0.01
Ir 0.000 0.000 0.000  -0.12
Ba 0.375 0.199 0.750  -0.01
Ba 0.801 0.125 0.250  -0.01
Ir 0.750 0.250 0.500  -0.12
Cr 0.250 0.750 0.500  3.42
Cr 0.500 0.500 0.000  3.41

***

This record from Alexandria via LeMat-Bulk describes Ba2CrIr after structural relaxation. The functional is GGA-PBE.

Summary:
Space-group type ... Cm (8)
DOS(E_F) ... 4.17 states/eV/f.u.
Spin magnetization ... 0.63 μB/f.u.
Energy of formation ... 0.134 eV/atom
Uncorrected energy ... -5.4486 eV per atom
Distance to the lowest polymorph of the same formula ... 0.000 eV per atom

a = 4.149 Å, b = 4.149 Å, c = 9.541 Å
α = 77.81°, β = 77.81°, γ = 60.00°
Last column: magnetic moment on the atom in μB.
Atoms (fractional coordinates):
Ba 0.791 0.791 0.637  0.03
Cr 0.545 0.545 0.365  0.26
Ba 0.960 0.960 0.111  0.02
Ir 0.205 0.205 0.387  -0.03

***

This record from Alexandria via LeMat-Bulk describes BaCrIr2 after structural relaxation. The functional is GGA-PBE.

Summary:
Space-group type ... P4/mmm (123)
DOS(E_F) ... 3.18 states/eV/f.u.
Spin magnetization ... 3.68 μB/f.u.
Energy of formation ... 0.812 eV/atom
Uncorrected energy ... -6.5047 eV per atom
Distance to the lowest polymorph of the same formula ... 0.749 eV per atom

a = 4.195 Å, b = 4.364 Å, c = 4.364 Å
α = 90.00°, β = 90.00°, γ = 90.00°
Last column: magnetic moment on the atom in μB.
Atoms (fractional coordinates):
Ir 0.000 0.500 0.500  -0.21
Cr 0.500 0.000 0.500  3.57
Ba 0.500 0.500 0.000  0.08
Ir 0.000 0.000 0.000  -0.21

***

This record from Alexandria via LeMat-Bulk describes BaLa2CrIr after structural relaxation. The functional is GGA-PBE.

Summary:
Space-group type ... P4/mmm (123)
DOS(E_F) ... 3.91 states/eV/f.u.
Spin magnetization ... 4.71 μB/f.u.
Energy of formation ... 0.163 eV/atom
Uncorrected energy ... -5.8899 eV per atom

a = 5.557 Å, b = 6.268 Å, c = 5.557 Å
α = 90.00°, β = 90.00°, γ = 90.00°
Last column: magnetic moment on the atom in μB.
Atoms (fractional coordinates):
Ir 0.000 0.000 0.000  0.02
La 0.000 0.000 0.500  -0.03
La 0.500 0.000 0.000  -0.04
Cr 0.500 0.500 0.500  4.11
Ba 0.000 0.500 0.000  -0.01

***

This record from Alexandria via LeMat-Bulk describes BaCrNiIr2 after structural relaxation. The functional is GGA-PBE.

Summary:
Space-group type ... P4/mmm (123)
DOS(E_F) ... 8.24 states/eV/f.u.
Spin magnetization ... 0.50 μB/f.u.
Energy of formation ... 2.898 eV/atom
Uncorrected energy ... -4.1115 eV per atom

a = 5.089 Å, b = 4.671 Å, c = 5.089 Å
α = 90.00°, β = 90.00°, γ = 90.00°
Last column: magnetic moment on the atom in μB.
Atoms (fractional coordinates):
Ba 0.000 0.000 0.000  0.01
Ni 0.000 0.500 0.000  0.00
Ir 0.500 0.000 0.000  -0.09
Ir 0.000 0.000 0.500  0.01
Cr 0.500 0.500 0.500  -0.44

***

In the order shown, the computed calculated volume values come out to 96.2 87.4 75.7 84.5 155.2 81.1 76.4 113.4 79.5 337.0 137.9 79.9 193.6 120.9 Å³/cell.